DFT (GGA-PBE) results for PrMgB12 after structural relaxation.

Lattice parameters (Å, degrees): 4.125 4.125 8.274 90.00 90.00 90.00
Fractional positions:
Pr (0.000, 0.000, 0.000)
Mg (0.000, 0.000, 0.500)
B (0.200, 0.500, 0.252)
B (0.200, 0.500, 0.748)
B (0.500, 0.200, 0.252)
B (0.500, 0.200, 0.748)
B (0.500, 0.500, 0.101)
B (0.500, 0.500, 0.400)
B (0.500, 0.500, 0.600)
B (0.500, 0.500, 0.899)
B (0.500, 0.800, 0.252)
B (0.500, 0.800, 0.748)
B (0.800, 0.500, 0.252)
B (0.800, 0.500, 0.748)

* E: -6.42 eV per atom
* N(E_F): 0.04 states/eV per atom
* energy relative to the elements: -0.24 eV/atom
* mass density: 3.48 Mg/m³